TbTlGeSe4: relaxed, GGA-PBE.

Cell lengths 6.7843, 6.9927, 8.9955 Å; angles 90.00, 107.18, 90.00 degrees
With the nearest neighbours (Å) after each atom.
Fractional positions:
Tb 0.2304 0.2500 0.0548  6 Se 2.91-3.00
Tb 0.7696 0.7500 0.9452  6 Se 2.91-3.00
Tl 0.2441 0.2500 0.5636  6 Se 3.25-3.57
Tl 0.7559 0.7500 0.4364  6 Se 3.25-3.57
Ge 0.2265 0.7500 0.8237  4 Se 2.35-2.39
Ge 0.7735 0.2500 0.1763  4 Se 2.35-2.39
Se 0.0104 0.5108 0.2142  1 Ge 2.39
Se 0.0104 0.9892 0.2142  1 Ge 2.39
Se 0.4321 0.7500 0.6547  1 Ge 2.35
Se 0.4358 0.7500 0.0867  1 Ge 2.37
Se 0.5642 0.2500 0.9133  1 Ge 2.37
Se 0.5679 0.2500 0.3453  1 Ge 2.35
Se 0.9896 0.0108 0.7858  1 Ge 2.39
Se 0.9896 0.4892 0.7858  1 Ge 2.39

Summary:
Its total energy is -4.536 eV per atom. The calculation puts the density at 6.12 Mg/m³. Its space group is P2_1/m, No. 11. The uncorrected formation energy is -20.43 kcal/mol of atoms.